Material: ZnMo2P
Method: DFT, PBE-GGA
State: relaxed

Cell and atoms, written as POSCAR:
```
ZnMo2P
1.0
5.570 0.000 0.000
0.000 7.953 0.000
-0.915 0.000 2.647
Zn Mo P
2 4 2
Cartesian
0.000 0.000 0.000
2.785 3.976 0.000
0.935 1.988 1.324
0.935 5.965 1.324
3.720 1.988 1.324
3.720 5.965 1.324
0.000 3.976 0.000
2.785 0.000 0.000
```

Properties
**E_form**: 66.7 kJ/mol of formula units
**Symmetry**: No. 12
**ρ**: 8.16 Mg/m³
**Polymorph energy (0 for the lowest one)**: 0.234 eV/atom
**Crystal system**: monoclinic
**Magnetic moment**: 0.0 μB/cell